Record 1
An optimized crystal structure of Tb2PrDy9, computed with PBE.

Values from the calculation:
ΔE_f = 0.021 eV/atom
Total magnetization = 0.0 μB per formula unit
Polymorph energy (0 for the lowest one) = 0.000 eV per atom

Cell: 5.0325 5.0325 15.1009 Å, 90.00 90.00 90.00°
Element x y z (fractional)
Tb (0.0000, 0.0000, 0.3343)
Tb (0.0000, 0.0000, 0.6657)
Pr (0.0000, 0.0000, 0.0000)
Dy (0.5000, 0.5000, 0.0000)
Dy (0.5000, 0.5000, 0.3348)
Dy (0.5000, 0.5000, 0.6652)
Dy (0.5000, 0.0000, 0.1690)
Dy (0.5000, 0.0000, 0.5000)
Dy (0.5000, 0.0000, 0.8310)
Dy (0.0000, 0.5000, 0.1690)
Dy (0.0000, 0.5000, 0.5000)
Dy (0.0000, 0.5000, 0.8310)


Record 2
An optimized crystal structure of Ti2Bi2Sb, computed with PBE.

Values from the calculation:
E_tot = -5.63 eV/atom
Total magnetization = 0.0 μB per formula unit

Cell: 7.6415 7.6415 3.9830 Å, 90.00 90.00 90.00°
Element x y z (fractional)
Sb (0.0000, 0.0000, 0.0000)
Sb (0.5000, 0.5000, 0.0000)
Bi (0.1506, 0.6506, 0.5000)
Bi (0.6506, 0.8494, 0.5000)
Bi (0.8494, 0.3494, 0.5000)
Bi (0.3494, 0.1506, 0.5000)
Ti (0.3523, 0.8523, 0.0000)
Ti (0.8523, 0.6477, 0.0000)
Ti (0.6477, 0.1477, 0.0000)
Ti (0.1477, 0.3523, 0.0000)


Record 3
An optimized crystal structure of Ca4AgHg, computed with PBE.

Values from the calculation:
ΔE_f = -0.307 eV/atom
Total magnetization = 0.0 μB per formula unit
Polymorph energy (0 for the lowest one) = 0.000 eV per atom

Cell: 3.7983 3.7983 13.0335 Å, 90.00 90.00 90.00°
Element x y z (fractional)
Ca (0.5000, 0.5000, 0.8591)
Ca (0.5000, 0.5000, 0.1409)
Ca (0.0000, 0.0000, 0.6364)
Ca (0.0000, 0.0000, 0.3636)
Ag (0.5000, 0.5000, 0.5000)
Hg (0.0000, 0.0000, 0.0000)


Record 4
An optimized crystal structure of HgB2C2, computed with PBE.

Values from the calculation:
ΔE_f = 1.956 eV/atom
Total magnetization = 0.0 μB per formula unit
Polymorph energy (0 for the lowest one) = 0.555 eV per atom

Cell: 6.5090 6.5090 2.6474 Å, 90.00 90.00 90.00°
Element x y z (fractional)
C (0.0846, 0.5846, 0.5000)
C (0.5846, 0.9154, 0.5000)
C (0.9154, 0.4154, 0.5000)
C (0.4154, 0.0846, 0.5000)
B (0.4002, 0.9002, 0.0000)
B (0.9002, 0.5998, 0.0000)
B (0.5998, 0.0998, 0.0000)
B (0.0998, 0.4002, 0.0000)
Hg (0.0000, 0.0000, 0.0000)
Hg (0.5000, 0.5000, 0.0000)


Record 5
An optimized crystal structure of FeMoP2S, computed with PBE.

Values from the calculation:
Total magnetization = 3.5 μB per formula unit
Polymorph energy (0 for the lowest one) = 0.000 eV per atom

Cell: 4.7193 4.7193 4.5969 Å, 90.00 90.00 90.00°
Each line ends with the local moment (μB).
Element x y z (fractional)
S (0.0000, 0.0000, 0.5000)  0.00
P (0.0000, 0.5000, 0.0000)  -0.03
P (0.5000, 0.0000, 0.0000)  -0.03
Mo (0.0000, 0.0000, 0.0000)  0.04
Fe (0.5000, 0.5000, 0.5000)  3.32


Record 6
An optimized crystal structure of BaTlAg2, computed with PBE.

Values from the calculation:
ΔE_f = -0.111 eV/atom
Total magnetization = 0.0 μB per formula unit
Polymorph energy (0 for the lowest one) = 0.105 eV per atom

Cell: 5.4479 5.4479 5.4479 Å, 60.00 60.00 60.00°
Element x y z (fractional)
Tl (0.5000, 0.5000, 0.5000)
Ba (0.0000, 0.0000, 0.0000)
Ag (0.2500, 0.2500, 0.2500)
Ag (0.7500, 0.7500, 0.7500)